Run one
First-principles (PBE) data for a relaxed structure of TbPr2In2, as listed in Alexandria.

```
TbPr2In2
1.0
3.843 0.000 0.000
0.000 5.457 0.000
-1.929 0.000 14.340
Tb Pr In
2 4 4
direct
0.147 0.250 0.295
0.853 0.750 0.705
0.046 0.750 0.093
0.237 0.750 0.473
0.763 0.250 0.527
0.954 0.250 0.907
0.358 0.250 0.715
0.447 0.750 0.894
0.553 0.250 0.106
0.642 0.750 0.285
```

Results
Magnetization = 0.000 μB/f.u.


Run two
First-principles (PBE) data for a relaxed structure of TbPr2In2, as listed in Alexandria.

```
TbPr2In2
1.0
-2.529 3.564 4.276
2.529 -3.564 4.276
2.529 3.564 -4.276
Tb Pr In
1 2 2
direct
0.000 0.000 0.000
0.306 0.806 0.500
0.694 0.194 0.500
0.289 0.500 0.789
0.711 0.500 0.211
```

Results
Magnetization = 0.000 μB/f.u.


What is the stability order? It is run two, run one, from most stable to least stable.


Run one
First-principles (PBE) data for a relaxed structure of TbPr4In2, as listed in Alexandria.

```
TbPr4In2
1.0
-3.009 3.009 6.496
3.009 -3.009 6.496
3.009 3.009 -6.496
Tb Pr In
1 4 2
direct
0.000 0.000 0.000
0.000 0.500 0.500
0.250 0.750 0.500
0.500 0.000 0.500
0.750 0.250 0.500
0.378 0.378 0.000
0.622 0.622 0.000
```

Results
Magnetization = 0.002 μB/f.u.


Run two
First-principles (PBE) data for a relaxed structure of TbPr4In2, as listed in Alexandria.

```
TbPr4In2
1.0
9.299 0.000 0.000
0.000 9.299 0.000
0.000 0.000 5.600
Tb Pr In
2 8 4
direct
0.000 0.000 0.000
0.500 0.500 0.500
0.076 0.324 0.500
0.176 0.576 0.000
0.324 0.076 0.500
0.424 0.824 0.000
0.576 0.176 0.000
0.676 0.924 0.500
0.824 0.424 0.000
0.924 0.676 0.500
0.238 0.238 0.000
0.262 0.738 0.500
0.738 0.262 0.500
0.762 0.762 0.000
```

Results
Magnetization = 0.000 μB/f.u.


What is the stability order? It is run two, run one, from most stable to least stable.


Run one
First-principles (PBE) data for a relaxed structure of TbPrTmIn, as listed in Alexandria.

```
TbPrTmIn
1.0
0.000 3.883 3.883
3.883 0.000 3.883
3.883 3.883 0.000
Tb Pr Tm In
1 1 1 1
direct
0.000 0.000 0.000
0.750 0.750 0.750
0.500 0.500 0.500
0.250 0.250 0.250
```

Results
Magnetization = 1.458 μB/f.u.


Run two
First-principles (PBE) data for a relaxed structure of TbPrTmIn, as listed in Alexandria.

```
TbPrTmIn
1.0
0.000 3.895 3.895
3.895 0.000 3.895
3.895 3.895 0.000
Tb Pr Tm In
1 1 1 1
direct
0.000 0.000 0.000
0.500 0.500 0.500
0.750 0.750 0.750
0.250 0.250 0.250
```

Results
Magnetization = 0.684 μB/f.u.


What is the stability order? It is run two, run one, from most stable to least stable.


Run one
First-principles (PBE) data for a relaxed structure of PrThIn4, as listed in Alexandria.

```
PrThIn4
1.0
0.000 4.314 4.314
4.314 0.000 4.314
4.314 4.314 0.000
Pr Th In
1 1 4
direct
0.000 0.000 0.000
0.250 0.250 0.250
0.125 0.625 0.625
0.625 0.125 0.625
0.625 0.625 0.125
0.625 0.625 0.625
```

Results
Magnetization = 0.000 μB/f.u.


Run two
First-principles (PBE) data for a relaxed structure of PrThIn4, as listed in Alexandria.

```
PrThIn4
1.0
-2.527 3.704 4.373
2.527 -3.704 4.373
2.527 3.704 -4.373
Pr Th In
1 1 4
direct
0.000 0.000 0.000
0.500 0.000 0.500
0.083 0.333 0.750
0.416 0.667 0.750
0.584 0.333 0.250
0.917 0.667 0.250
```

Results
Magnetization = 0.000 μB/f.u.


What is the stability order? It is run two, run one, from most stable to least stable.


Run one
First-principles (PBE) data for a relaxed structure of PrTh2In, as listed in Alexandria.

```
PrTh2In
1.0
4.226 0.000 0.000
0.000 4.226 0.000
0.000 0.000 7.048
Pr Th In
1 2 1
direct
0.000 0.000 0.000
0.500 0.500 0.275
0.500 0.500 0.725
0.000 0.000 0.500
```

Results
Magnetization = 0.000 μB/f.u.


Run two
First-principles (PBE) data for a relaxed structure of PrTh2In, as listed in Alexandria.

```
PrTh2In
1.0
1.712 0.989 12.466
-1.712 0.989 12.466
0.000 -1.977 12.466
Pr Th In
1 2 1
direct
0.000 0.000 0.000
0.092 0.092 0.092
0.908 0.908 0.908
0.500 0.500 0.500
```

Results
Magnetization = 0.001 μB/f.u.


Run three
First-principles (PBE) data for a relaxed structure of PrTh2In, as listed in Alexandria.

```
PrTh2In
1.0
4.813 0.000 0.000
0.000 4.750 0.000
-2.408 0.000 11.425
Pr Th In
2 4 2
direct
0.195 0.250 0.388
0.805 0.750 0.612
0.060 0.750 0.119
0.442 0.750 0.884
0.558 0.250 0.116
0.940 0.250 0.881
0.335 0.250 0.671
0.665 0.750 0.329
```

Results
Magnetization = 0.000 μB/f.u.


Run four
First-principles (PBE) data for a relaxed structure of PrTh2In, as listed in Alexandria.

```
PrTh2In
1.0
4.919 0.000 0.000
0.000 4.919 0.000
0.000 0.000 5.080
Pr Th In
1 2 1
direct
0.000 0.000 0.000
0.000 0.500 0.500
0.500 0.000 0.500
0.500 0.500 0.000
```

Results
Magnetization = 0.000 μB/f.u.


What is the stability order? It is run four, run three, run one, run two, from most stable to least stable.


Run one
First-principles (PBE) data for a relaxed structure of PrThIn, as listed in Alexandria.

```
PrThIn
1.0
-3.242 3.249 4.573
3.242 -3.249 4.573
3.242 3.249 -4.573
Pr Th In
2 2 2
direct
0.500 0.000 0.000
0.500 0.500 0.500
0.000 0.000 0.000
0.500 0.000 0.500
0.122 0.372 0.750
0.878 0.628 0.250
```

Results
Magnetization = 0.000 μB/f.u.


Run two
First-principles (PBE) data for a relaxed structure of PrThIn, as listed in Alexandria.

```
PrThIn
1.0
2.309 -7.982 0.000
2.309 7.982 0.000
0.000 0.000 5.005
Pr Th In
2 2 2
direct
0.238 0.762 0.750
0.762 0.238 0.250
0.072 0.928 0.250
0.928 0.072 0.750
0.410 0.590 0.250
0.590 0.410 0.750
```

Results
Magnetization = 0.000 μB/f.u.


Run three
First-principles (PBE) data for a relaxed structure of PrThIn, as listed in Alexandria.

```
PrThIn
1.0
5.532 0.000 0.000
-2.766 4.791 0.000
0.000 0.000 3.309
Pr Th In
1 1 1
direct
0.000 0.000 0.000
0.333 0.667 0.907
0.667 0.333 0.441
```

Results
Magnetization = 0.000 μB/f.u.


What is the stability order? It is run two, run three, run one, from most stable to least stable.


Run one
First-principles (PBE) data for a relaxed structure of PrThTlIn, as listed in Alexandria.

```
PrThTlIn
1.0
4.044 0.000 0.000
0.000 4.044 0.000
0.000 0.000 7.265
Pr Th Tl In
1 1 1 1
direct
0.000 0.000 0.000
0.000 0.000 0.496
0.500 0.500 0.750
0.500 0.500 0.248
```

Results
Magnetization = 0.001 μB/f.u.


Run two
First-principles (PBE) data for a relaxed structure of PrThTlIn, as listed in Alexandria.

```
PrThTlIn
1.0
0.000 3.908 3.908
3.908 0.000 3.908
3.908 3.908 0.000
Pr Th Tl In
1 1 1 1
direct
0.000 0.000 0.000
0.500 0.500 0.500
0.750 0.750 0.750
0.250 0.250 0.250
```

Results
Magnetization = 0.000 μB/f.u.


What is the stability order? It is run one, run two, from most stable to least stable.


Run one
First-principles (PBE) data for a relaxed structure of Pr3TlIn, as listed in Alexandria.

```
Pr3TlIn
1.0
5.480 0.000 0.000
-2.740 4.746 0.000
0.000 0.000 12.721
Pr Tl In
6 2 2
direct
0.000 0.000 0.250
0.000 0.000 0.750
0.333 0.667 0.089
0.333 0.667 0.411
0.667 0.333 0.589
0.667 0.333 0.911
0.000 0.000 0.000
0.000 0.000 0.500
0.333 0.667 0.750
0.667 0.333 0.250
```

Results
Magnetization = 0.006 μB/f.u.


Run two
First-principles (PBE) data for a relaxed structure of Pr3TlIn, as listed in Alexandria.

```
Pr3TlIn
1.0
2.601 -11.692 0.000
2.601 11.692 0.000
0.000 0.000 5.202
Pr Tl In
6 2 2
direct
0.060 0.940 0.750
0.250 0.750 0.750
0.440 0.560 0.750
0.560 0.440 0.250
0.750 0.250 0.250
0.940 0.060 0.250
0.155 0.845 0.250
0.845 0.155 0.750
0.345 0.655 0.250
0.655 0.345 0.750
```

Results
Magnetization = 0.000 μB/f.u.


What is the stability order? It is run two, run one, from most stable to least stable.


Run one
First-principles (PBE) data for a relaxed structure of Pr4Tl3In, as listed in Alexandria.

```
Pr4Tl3In
1.0
3.925 0.000 0.000
0.000 3.925 0.000
0.000 0.000 15.723
Pr Tl In
4 3 1
direct
0.000 0.000 0.123
0.000 0.000 0.374
0.000 0.000 0.626
0.000 0.000 0.877
0.500 0.500 0.249
0.500 0.500 0.500
0.500 0.500 0.751
0.500 0.500 0.000
```

Results
Magnetization = 0.000 μB/f.u.


Run two
First-principles (PBE) data for a relaxed structure of Pr4Tl3In, as listed in Alexandria.

```
Pr4Tl3In
1.0
4.537 0.000 0.000
0.000 4.731 0.000
0.000 0.000 11.985
Pr Tl In
4 3 1
direct
0.000 0.000 0.000
0.000 0.500 0.497
0.500 0.000 0.725
0.500 0.500 0.224
0.000 0.500 0.772
0.500 0.000 0.448
0.500 0.500 0.950
0.000 0.000 0.279
```

Results
Magnetization = 0.020 μB/f.u.


What is the stability order? It is run one, run two, from most stable to least stable.


Run one
First-principles (PBE) data for a relaxed structure of Pr4TlIn, as listed in Alexandria.

```
Pr4TlIn
1.0
5.697 -2.313 0.000
5.697 2.313 0.000
-2.464 0.000 7.074
Pr Tl In
4 1 1
direct
0.153 0.153 0.328
0.154 0.154 0.825
0.846 0.846 0.175
0.847 0.847 0.672
0.500 0.500 0.000
0.500 0.500 0.500
```

Results
Magnetization = 0.000 μB/f.u.


Run two
First-principles (PBE) data for a relaxed structure of Pr4TlIn, as listed in Alexandria.

```
Pr4TlIn
1.0
5.565 0.000 0.000
0.000 7.038 0.000
0.000 0.000 9.782
Pr Tl In
8 2 2
direct
0.250 0.011 0.225
0.250 0.250 0.902
0.250 0.489 0.225
0.250 0.750 0.577
0.750 0.250 0.423
0.750 0.511 0.775
0.750 0.750 0.098
0.750 0.989 0.775
0.250 0.250 0.579
0.750 0.750 0.421
0.250 0.750 0.913
0.750 0.250 0.087
```

Results
Magnetization = 0.000 μB/f.u.


What is the stability order? It is run two, run one, from most stable to least stable.


Run one
First-principles (PBE) data for a relaxed structure of PrTlIn, as listed in Alexandria.

```
PrTlIn
1.0
5.126 0.000 0.000
-2.563 4.440 0.000
0.000 0.000 7.482
Pr Tl In
2 2 2
direct
0.000 0.000 0.000
0.000 0.000 0.500
0.333 0.667 0.250
0.667 0.333 0.750
0.333 0.667 0.750
0.667 0.333 0.250
```

Results
Magnetization = 0.000 μB/f.u.


Run two
First-principles (PBE) data for a relaxed structure of PrTlIn, as listed in Alexandria.

```
PrTlIn
1.0
-1.849 1.849 6.320
1.849 -1.849 6.320
1.849 1.849 -6.320
Pr Tl In
1 1 1
direct
0.000 0.000 0.000
0.678 0.678 0.000
0.328 0.328 0.000
```

Results
Magnetization = 0.000 μB/f.u.


Run three
First-principles (PBE) data for a relaxed structure of PrTlIn, as listed in Alexandria.

```
PrTlIn
1.0
5.046 0.000 0.000
-2.523 4.370 0.000
0.000 0.000 3.919
Pr Tl In
1 1 1
direct
0.000 0.000 0.000
0.333 0.667 0.382
0.667 0.333 0.587
```

Results
Magnetization = 0.000 μB/f.u.


Run four
First-principles (PBE) data for a relaxed structure of PrTlIn, as listed in Alexandria.

```
PrTlIn
1.0
8.695 0.000 0.000
0.000 5.018 0.000
0.000 0.000 4.571
Pr Tl In
2 2 2
direct
0.250 0.000 0.059
0.750 0.000 0.941
0.250 0.500 0.529
0.750 0.500 0.471
0.000 0.500 0.000
0.500 0.500 0.000
```

Results
Magnetization = 0.000 μB/f.u.


What is the stability order? It is run three, run one, run two, run four, from most stable to least stable.